Record 1
This record from Alexandria via LeMat-Bulk describes a relaxed LaMnNi2 crystal. The functional is PBE-GGA. Values from VASP.

The structure in Quantum ESPRESSO input format:
```
&SYSTEM
  ibrav = 0, nat = 4, ntyp = 3
/
ATOMIC_SPECIES
La 138.91 La.upf
Mn 54.94 Mn.upf
Ni 58.69 Ni.upf
CELL_PARAMETERS angstrom
-1.965 1.965 4.352
1.965 -1.965 4.352
1.965 1.965 -4.352
ATOMIC_POSITIONS crystal
La 0.000 0.000 0.000
Mn 0.250 0.750 0.500
Ni 0.500 0.500 0.000
Ni 0.750 0.250 0.500
```

Computed properties:
N(E_F)   2.50 states/eV per cell
Size of the total moment   4.066 Bohr magnetons per cell
Formation enthalpy at 0 K   104 meV per atom
ρ   7.69 g/cm3
Space-group type   I-4m2 (119)

Record 2
This record from Alexandria via LeMat-Bulk describes a relaxed Zr2CrTe6 crystal. The functional is PBE-GGA. Values from VASP.

The structure in Quantum ESPRESSO input format:
```
&SYSTEM
  ibrav = 0, nat = 18, ntyp = 3
/
ATOMIC_SPECIES
Zr 91.22 Zr.upf
Cr 52.00 Cr.upf
Te 127.60 Te.upf
CELL_PARAMETERS angstrom
6.990 0.000 0.000
0.000 7.393 0.000
-6.598 0.000 9.324
ATOMIC_POSITIONS crystal
Zr 0.221 0.144 0.251
Zr 0.221 0.356 0.751
Zr 0.779 0.644 0.249
Zr 0.779 0.856 0.749
Cr 0.000 0.000 0.500
Cr 0.000 0.500 0.000
Te 0.083 0.172 0.930
Te 0.083 0.328 0.430
Te 0.274 0.671 0.932
Te 0.274 0.829 0.432
Te 0.411 0.011 0.761
Te 0.411 0.489 0.261
Te 0.589 0.511 0.739
Te 0.589 0.989 0.239
Te 0.726 0.171 0.568
Te 0.726 0.329 0.068
Te 0.917 0.672 0.570
Te 0.917 0.828 0.070
```

Computed properties:
N(E_F)   6.39 states/eV per cell
Size of the total moment   5.584 Bohr magnetons per cell
Energy relative to the elements, uncorrected   -0.552 eV per atom
ρ   6.89 g/cm3
Space-group type   P2_1/c (14)

Record 3
This record from Alexandria via LeMat-Bulk describes a relaxed BI2OF crystal. The functional is PBE-GGA. Values from VASP.

The structure in Quantum ESPRESSO input format:
```
&SYSTEM
  ibrav = 0, nat = 5, ntyp = 4
/
ATOMIC_SPECIES
B 10.81 B.upf
I 126.90 I.upf
O 16.00 O.upf
F 19.00 F.upf
CELL_PARAMETERS angstrom
5.835 0.000 0.000
0.000 5.835 0.000
0.000 0.000 2.801
ATOMIC_POSITIONS crystal
B 0.000 0.000 0.000
I 0.000 0.500 0.000
I 0.500 0.000 0.000
O 0.000 0.000 0.500
F 0.500 0.500 0.500
```

Computed properties:
N(E_F)   5.10 states/eV per cell
Relative energy among the computed polymorphs   0 meV/atom
Size of the total moment   0.609 Bohr magnetons per cell
Energy relative to the elements, uncorrected   -0.309 eV per atom
ρ   5.22 g/cm3
Space-group type   P4/mmm (123)

Record 4
This record from Alexandria via LeMat-Bulk describes a relaxed AcPr2ErTm crystal. The functional is PBE-GGA. Values from VASP.

The structure in Quantum ESPRESSO input format:
```
&SYSTEM
  ibrav = 0, nat = 10, ntyp = 4
/
ATOMIC_SPECIES
Ac 227.00 Ac.upf
Pr 140.91 Pr.upf
Er 167.26 Er.upf
Tm 168.93 Tm.upf
CELL_PARAMETERS angstrom
6.450 0.000 0.000
0.000 5.914 0.000
-3.186 0.000 9.341
ATOMIC_POSITIONS crystal
Ac 0.138 0.250 0.105
Ac 0.862 0.750 0.895
Pr 0.267 0.750 0.701
Pr 0.338 0.250 0.503
Pr 0.662 0.750 0.497
Pr 0.733 0.250 0.299
Er 0.475 0.750 0.103
Er 0.525 0.250 0.897
Tm 0.064 0.750 0.306
Tm 0.936 0.250 0.694
```

Computed properties:
N(E_F)   16.44 states/eV per cell
Size of the total moment   0.001 Bohr magnetons per cell
Formation enthalpy at 0 K   47 meV per atom
ρ   7.88 g/cm3
Space-group type   P2_1/m (11)

Record 5
This record from Alexandria via LeMat-Bulk describes a relaxed K2LiTa crystal. The functional is PBE-GGA. Values from VASP.

The structure in Quantum ESPRESSO input format:
```
&SYSTEM
  ibrav = 0, nat = 4, ntyp = 3
/
ATOMIC_SPECIES
K 39.10 K.upf
Li 6.94 Li.upf
Ta 180.95 Ta.upf
CELL_PARAMETERS angstrom
2.907 0.000 0.000
0.000 4.506 0.000
-0.730 0.000 10.337
ATOMIC_POSITIONS crystal
K 0.000 0.000 0.000
K 0.454 0.500 0.601
Li 0.376 0.500 0.243
Ta 0.896 0.000 0.347
```

Computed properties:
N(E_F)   3.58 states/eV per cell
Relative energy among the computed polymorphs   51 meV/atom
Size of the total moment   0.699 Bohr magnetons per cell
Formation enthalpy at 0 K   988 meV per atom
ρ   3.26 g/cm3
Space-group type   Pm (6)

Record 6
This record from Alexandria via LeMat-Bulk describes a relaxed BaLi6Mg6 crystal. The functional is PBE-GGA. Values from VASP.

The structure in Quantum ESPRESSO input format:
```
&SYSTEM
  ibrav = 0, nat = 13, ntyp = 3
/
ATOMIC_SPECIES
Ba 137.33 Ba.upf
Li 6.94 Li.upf
Mg 24.30 Mg.upf
CELL_PARAMETERS angstrom
-2.798 5.311 5.316
2.798 -5.311 5.316
2.798 5.311 -5.316
ATOMIC_POSITIONS crystal
Ba 0.000 0.000 0.000
Li 0.000 0.000 0.500
Li 0.000 0.500 0.000
Li 0.229 0.500 0.729
Li 0.500 0.000 0.000
Li 0.500 0.500 0.500
Li 0.771 0.500 0.271
Mg 0.224 0.724 0.500
Mg 0.357 0.000 0.357
Mg 0.358 0.358 0.000
Mg 0.642 0.642 0.000
Mg 0.643 0.000 0.643
Mg 0.776 0.276 0.500
```

Computed properties:
N(E_F)   10.32 states/eV per cell
Size of the total moment   0.000 Bohr magnetons per cell
Formation enthalpy at 0 K   -25 meV per atom
ρ   1.71 g/cm3
Space-group type   Immm (71)

Record 7
This record from Alexandria via LeMat-Bulk describes a relaxed TiFeS2 crystal. The functional is PBE-GGA. Values from VASP.

The structure in Quantum ESPRESSO input format:
```
&SYSTEM
  ibrav = 0, nat = 8, ntyp = 3
/
ATOMIC_SPECIES
Ti 47.87 Ti.upf
Fe 55.84 Fe.upf
S 32.06 S.upf
CELL_PARAMETERS angstrom
-2.613 2.613 5.115
2.613 -2.613 5.115
2.613 2.613 -5.115
ATOMIC_POSITIONS crystal
Ti 0.000 0.000 0.000
Ti 0.750 0.250 0.500
Fe 0.250 0.750 0.500
Fe 0.500 0.500 0.000
S 0.156 0.625 0.031
S 0.375 0.406 0.531
S 0.594 0.125 0.969
S 0.875 0.844 0.469
```

Computed properties:
N(E_F)   7.19 states/eV per cell
Relative energy among the computed polymorphs   0 meV/atom
Size of the total moment   0.184 Bohr magnetons per cell
Energy relative to the elements, uncorrected   -0.645 eV per atom
ρ   3.99 g/cm3
Space-group type   I-42d (122)

Record 8
This record from Alexandria via LeMat-Bulk describes a relaxed TaTi2Os crystal. The functional is PBE-GGA. Values from VASP.

The structure in Quantum ESPRESSO input format:
```
&SYSTEM
  ibrav = 0, nat = 4, ntyp = 3
/
ATOMIC_SPECIES
Ta 180.95 Ta.upf
Ti 47.87 Ti.upf
Os 190.23 Os.upf
CELL_PARAMETERS angstrom
0.000 3.165 3.165
3.165 0.000 3.165
3.165 3.165 0.000
ATOMIC_POSITIONS crystal
Ta 0.000 0.000 0.000
Ti 0.250 0.250 0.250
Ti 0.750 0.750 0.750
Os 0.500 0.500 0.500
```

Computed properties:
N(E_F)   4.90 states/eV per cell
Relative energy among the computed polymorphs   84 meV/atom
Size of the total moment   0.000 Bohr magnetons per cell
Formation enthalpy at 0 K   -247 meV per atom
ρ   12.23 g/cm3
Space-group type   Fm-3m (225)

Record 9
This record from Alexandria via LeMat-Bulk describes a relaxed NdZrHgPd crystal. The functional is PBE-GGA. Values from VASP.

The structure in Quantum ESPRESSO input format:
```
&SYSTEM
  ibrav = 0, nat = 4, ntyp = 4
/
ATOMIC_SPECIES
Nd 144.24 Nd.upf
Zr 91.22 Zr.upf
Hg 200.59 Hg.upf
Pd 106.42 Pd.upf
CELL_PARAMETERS angstrom
0.000 3.588 3.588
3.588 0.000 3.588
3.588 3.588 0.000
ATOMIC_POSITIONS crystal
Nd 0.000 0.000 0.000
Zr 0.500 0.500 0.500
Hg 0.250 0.250 0.250
Pd 0.750 0.750 0.750
```

Computed properties:
N(E_F)   4.83 states/eV per cell
Size of the total moment   0.488 Bohr magnetons per cell
Formation enthalpy at 0 K   -329 meV per atom
ρ   9.75 g/cm3
Space-group type   F-43m (216)

Record 10
This record from Alexandria via LeMat-Bulk describes a relaxed Bi3PO7 crystal. The functional is PBE-GGA. Values from VASP.

The structure in Quantum ESPRESSO input format:
```
&SYSTEM
  ibrav = 0, nat = 66, ntyp = 3
/
ATOMIC_SPECIES
Bi 208.98 Bi.upf
P 30.97 P.upf
O 16.00 O.upf
CELL_PARAMETERS angstrom
6.518 -6.821 0.000
6.518 6.821 0.000
-3.962 0.000 11.551
ATOMIC_POSITIONS crystal
Bi 0.162 0.468 0.107
Bi 0.166 0.481 0.771
Bi 0.169 0.828 0.692
Bi 0.172 0.831 0.308
Bi 0.180 0.820 0.000
Bi 0.186 0.520 0.447
Bi 0.468 0.162 0.107
Bi 0.480 0.814 0.553
Bi 0.481 0.166 0.771
Bi 0.519 0.834 0.229
Bi 0.520 0.186 0.447
Bi 0.532 0.838 0.893
Bi 0.814 0.480 0.553
Bi 0.820 0.180 0.000
Bi 0.828 0.169 0.692
Bi 0.831 0.172 0.308
Bi 0.834 0.519 0.229
Bi 0.838 0.532 0.893
P 0.165 0.165 0.872
P 0.171 0.171 0.254
P 0.493 0.493 0.681
P 0.507 0.507 0.319
P 0.829 0.829 0.746
P 0.835 0.835 0.128
O 0.009 0.200 0.885
O 0.065 0.254 0.179
O 0.081 0.578 0.619
O 0.082 0.082 0.314
O 0.087 0.586 0.277
O 0.098 0.567 0.946
O 0.179 0.179 0.750
O 0.200 0.009 0.885
O 0.228 0.772 0.500
O 0.254 0.065 0.179
O 0.275 0.720 0.837
O 0.278 0.278 0.970
O 0.280 0.725 0.163
O 0.283 0.283 0.352
O 0.376 0.376 0.687
O 0.400 0.591 0.384
O 0.409 0.600 0.616
O 0.414 0.913 0.723
O 0.422 0.422 0.196
O 0.422 0.919 0.381
O 0.433 0.902 0.054
O 0.567 0.098 0.946
O 0.578 0.081 0.619
O 0.578 0.578 0.804
O 0.586 0.087 0.277
O 0.591 0.400 0.384
O 0.600 0.409 0.616
O 0.624 0.624 0.313
O 0.717 0.717 0.648
O 0.720 0.275 0.837
O 0.722 0.722 0.030
O 0.725 0.280 0.163
O 0.746 0.935 0.821
O 0.772 0.228 0.500
O 0.800 0.991 0.115
O 0.821 0.821 0.250
O 0.902 0.433 0.054
O 0.913 0.414 0.723
O 0.918 0.918 0.686
O 0.919 0.422 0.381
O 0.935 0.746 0.821
O 0.991 0.800 0.115
```

Computed properties:
N(E_F)   0.00 states/eV per cell
Size of the total moment   0.000 Bohr magnetons per cell
Energy relative to the elements, uncorrected   -1.640 eV per atom
ρ   7.47 g/cm3
Space-group type   C2/m (12)

Record 11
This record from Alexandria via LeMat-Bulk describes a relaxed ZnReOs crystal. The functional is PBE-GGA. Values from VASP.

The structure in Quantum ESPRESSO input format:
```
&SYSTEM
  ibrav = 0, nat = 3, ntyp = 3
/
ATOMIC_SPECIES
Zn 65.41 Zn.upf
Re 186.21 Re.upf
Os 190.23 Os.upf
CELL_PARAMETERS angstrom
-1.435 1.435 5.254
1.435 -1.435 5.254
1.435 1.435 -5.254
ATOMIC_POSITIONS crystal
Zn 0.000 0.000 0.000
Re 0.326 0.326 0.000
Os 0.669 0.669 0.000
```

Computed properties:
N(E_F)   1.76 states/eV per cell
Relative energy among the computed polymorphs   68 meV/atom
Size of the total moment   0.000 Bohr magnetons per cell
Formation enthalpy at 0 K   100 meV per atom
ρ   16.95 g/cm3
Space-group type   I4mm (107)

Record 12
This record from Alexandria via LeMat-Bulk describes a relaxed VFeSCl2 crystal. The functional is PBE-GGA. Values from VASP.

The structure in Quantum ESPRESSO input format:
```
&SYSTEM
  ibrav = 0, nat = 5, ntyp = 4
/
ATOMIC_SPECIES
V 50.94 V.upf
Fe 55.84 Fe.upf
S 32.06 S.upf
Cl 35.45 Cl.upf
CELL_PARAMETERS angstrom
4.566 0.000 0.000
0.000 4.566 0.000
0.000 0.000 4.403
ATOMIC_POSITIONS crystal
V 0.000 0.000 0.000
Fe 0.500 0.500 0.500
S 0.500 0.500 0.000
Cl 0.000 0.500 0.500
Cl 0.500 0.000 0.500
```

Computed properties:
N(E_F)   10.84 states/eV per cell
Relative energy among the computed polymorphs   498 meV/atom
Size of the total moment   0.521 Bohr magnetons per cell
Energy relative to the elements, uncorrected   0.497 eV per atom
ρ   3.79 g/cm3
Space-group type   P4/mmm (123)

Which formula does entry 2 have? Zr2CrTe6